(1)
An optimized crystal structure of YScTe2H. Source: Alexandria via LeMat-Bulk, functional GGA-PBEsol.

Output
The size of the total moment is 0.00 μB/atom. The energy comes out at -28.1 eV/cell.

```
YScTe2H
1.0
5.525 0.000 0.000
0.000 5.525 0.000
0.000 0.000 3.793
Y Sc Te H
1 1 2 1
Cartesian
0.000 0.000 0.000
2.762 2.762 1.896
0.000 2.762 1.896
2.762 0.000 1.896
2.762 2.762 0.000
```

---

(2)
An optimized crystal structure of LaGeI2. Source: Alexandria via LeMat-Bulk, functional GGA-PBEsol.

Output
Its formation energy (no corrections) is -510 meV per atom. The size of the total moment is 0.00 μB/atom. The energy comes out at -15.9 eV/cell.

```
LaGeI2
1.0
0.000 3.867 3.867
3.867 0.000 3.867
3.867 3.867 0.000
La Ge I
1 1 2
Cartesian
0.000 0.000 0.000
3.867 3.867 3.867
1.933 1.933 1.933
5.800 5.800 5.800
```

---

(3)
An optimized crystal structure of LaHgSb. Source: Alexandria via LeMat-Bulk, functional GGA-PBEsol.

Output
Its formation energy (no corrections) is -585 meV per atom. The size of the total moment is 0.00 μB/atom. The energy comes out at -12.2 eV/cell.

```
LaHgSb
1.0
0.000 3.682 3.682
3.682 0.000 3.682
3.682 3.682 0.000
La Hg Sb
1 1 1
Cartesian
0.000 0.000 0.000
1.841 1.841 1.841
5.523 5.523 5.523
```

---

(4)
An optimized crystal structure of TcRh. Source: Alexandria via LeMat-Bulk, functional GGA-PBEsol.

Output
The size of the total moment is 0.00 μB/atom. The energy comes out at -39.3 eV/cell. The value obtained for the formation energy is -0.13 eV per atom.

```
TcRh
1.0
4.882 -1.345 0.000
4.882 1.345 0.000
-2.228 0.000 4.143
Tc Rh
2 2
Cartesian
0.581 0.000 1.207
6.954 0.000 2.935
3.230 0.000 0.859
4.305 0.000 3.284
```

---

Which formula does entry 4 have?
TcRh